NaV2CdO6: optimized geometry, GGA+U.

Cell: 7.238 7.238 5.511 Å, 98.29 98.29 88.48°
Fractional coordinates of all 20 atoms:
Na 0.090 0.910 0.750
Na 0.910 0.090 0.250
V 0.208 0.390 0.710
V 0.390 0.208 0.210
V 0.610 0.792 0.790
V 0.792 0.610 0.290
Cd 0.280 0.720 0.250
Cd 0.720 0.280 0.750
O 0.025 0.235 0.657
O 0.160 0.605 0.865
O 0.235 0.025 0.157
O 0.294 0.406 0.409
O 0.395 0.840 0.635
O 0.406 0.294 0.909
O 0.594 0.706 0.091
O 0.605 0.160 0.365
O 0.706 0.594 0.591
O 0.765 0.975 0.843
O 0.840 0.395 0.135
O 0.975 0.765 0.343

- Total DFT energy (no corrections): -6.41 eV/atom
- SG: C2/c